Computed, not measured: an optimized crystal structure of Pm2HgH at the PBE level of DFT.

Values from the calculation:
VASP energy ... -3.6161 eV/atom
DOS at the Fermi energy ... 3.02 states/eV/cell
Total magnetic moment ... 0.00 μB/f.u.

Lattice parameters (Å, degrees): 3.7369 3.7369 7.9670 76.44 76.44 60.00
Element x y z (fractional)
Hg  0.4996  0.4996  0.5013
H  0.6669  0.6669  0.9993
Pm  0.0611  0.0611  0.8166
Pm  0.2724  0.2724  0.1827

---

Computed, not measured: an optimized crystal structure of Pm12Hg3H5 at the PBE level of DFT.

Values from the calculation:
VASP energy ... -3.9917 eV/atom
DOS at the Fermi energy ... 81.34 states/eV/cell
Total magnetic moment ... 0.00 μB/f.u.

Lattice parameters (Å, degrees): 13.8227 13.8227 13.8227 109.47 109.47 109.47
Element x y z (fractional)
Hg  0.7500  0.3750  0.1250
Pm  0.1924  0.0974  0.7063
Hg  0.3750  0.6250  0.2500
H  0.8750  0.6250  0.7500
Hg  0.8750  0.7500  0.1250
Pm  0.2063  0.5139  0.6089
Pm  0.7937  0.4861  0.3911
Pm  0.8076  0.9026  0.2937
Hg  0.7500  0.8750  0.6250
Pm  0.6089  0.0139  0.2063
Pm  0.6924  0.4861  0.5950
Pm  0.5950  0.9861  0.6924
Pm  0.4026  0.1089  0.5950
H  0.6250  0.7500  0.8750
Pm  0.4026  0.2937  0.3076
Pm  0.0950  0.9026  0.1089
Pm  0.1924  0.0950  0.9861
H  0.5000  0.5000  0.0000
Pm  0.0950  0.1924  0.4861
Pm  0.2937  0.8911  0.9861
Pm  0.5139  0.2063  0.1089
Pm  0.9026  0.0950  0.6089
Hg  0.8750  0.1250  0.2500
Pm  0.1089  0.4026  0.0950
Pm  0.8076  0.9050  0.0139
Pm  0.5950  0.6089  0.4026
Hg  0.6250  0.3750  0.7500
Pm  0.3911  0.4050  0.0974
Hg  0.2500  0.1250  0.3750
H  0.0000  0.0000  0.5000
Pm  0.9050  0.8076  0.5139
Pm  0.0974  0.1924  0.2063
Pm  0.1089  0.7063  0.5139
H  0.0000  0.5000  0.5000
Pm  0.0139  0.6089  0.7063
H  0.8750  0.2500  0.6250
Pm  0.0974  0.9050  0.3911
Pm  0.5974  0.7063  0.6924
H  0.7500  0.1250  0.8750
Hg  0.1250  0.2500  0.8750
Pm  0.7063  0.5974  0.1924
Pm  0.9861  0.5950  0.1924
Pm  0.4050  0.3911  0.5974
H  0.7500  0.6250  0.3750
Pm  0.2937  0.4026  0.8076
Pm  0.3076  0.7937  0.4026
H  0.3750  0.1250  0.7500
H  0.0000  0.5000  0.0000
Pm  0.6089  0.5950  0.9026
Pm  0.2063  0.6924  0.0974
Pm  0.8911  0.5974  0.9050
Pm  0.9026  0.8076  0.7937
H  0.2500  0.8750  0.1250
Pm  0.7063  0.1089  0.0139
Pm  0.6924  0.2063  0.5974
Pm  0.5974  0.8911  0.4050
Pm  0.8911  0.2937  0.4861
Hg  0.1250  0.8750  0.7500
Pm  0.4050  0.0139  0.3076
Hg  0.6250  0.2500  0.3750
H  0.5000  0.5000  0.5000
Pm  0.3911  0.9861  0.7937
H  0.5000  0.0000  0.0000
Pm  0.4861  0.7937  0.8911
Pm  0.9050  0.0974  0.8911
Pm  0.5139  0.3076  0.9050
H  0.5000  0.0000  0.5000
H  0.1250  0.7500  0.3750
Hg  0.3750  0.7500  0.6250
Pm  0.9861  0.3911  0.2937
Pm  0.0139  0.4050  0.8076
H  0.3750  0.2500  0.1250
H  0.6250  0.8750  0.2500
H  0.1250  0.3750  0.2500
Pm  0.4861  0.6924  0.0950
H  0.0000  0.0000  0.0000
Pm  0.7937  0.3076  0.9026
Pm  0.3076  0.5139  0.4050
Hg  0.2500  0.6250  0.8750
H  0.2500  0.3750  0.6250

---

Computed, not measured: an optimized crystal structure of Pm2HgH at the PBE level of DFT.

Values from the calculation:
VASP energy ... -3.7355 eV/atom
DOS at the Fermi energy ... 10.14 states/eV/cell
Total magnetic moment ... 0.00 μB/f.u.

Lattice parameters (Å, degrees): 9.0276 5.3042 7.8324 90.00 102.76 90.00
Element x y z (fractional)
Pm  0.4352  0.2499  0.6084
Pm  0.8384  0.2500  0.4579
Hg  0.1361  0.2502  0.2842
Pm  0.1616  0.7500  0.0421
Pm  0.5648  0.7499  0.8916
Pm  0.5648  0.7501  0.3916
Hg  0.1361  0.2498  0.7842
H  0.4266  0.7517  0.6065
H  0.5734  0.2517  0.8935
Pm  0.8384  0.2500  0.9579
Hg  0.8639  0.7502  0.2158
Pm  0.4352  0.2501  0.1084
Pm  0.1616  0.7500  0.5421
H  0.4266  0.7483  0.1065
Hg  0.8639  0.7498  0.7158
H  0.5734  0.2483  0.3935

---

Computed, not measured: an optimized crystal structure of Pm2Hg2H at the PBE level of DFT.

Values from the calculation:
VASP energy ... -3.1032 eV/atom
DOS at the Fermi energy ... 5.60 states/eV/cell
Total magnetic moment ... 0.00 μB/f.u.

Lattice parameters (Å, degrees): 4.0967 9.0598 6.5488 90.00 108.23 90.00
Element x y z (fractional)
Pm  0.5459  0.8917  0.0918
Hg  0.1174  0.1873  0.2349
H  0.5635  0.6157  0.1269
Pm  0.4541  0.3917  0.9082
H  0.4365  0.1157  0.8731
Hg  0.7562  0.3692  0.5124
Pm  0.1427  0.5704  0.2853
Pm  0.8573  0.0704  0.7147
Hg  0.8826  0.6873  0.7651
Hg  0.2438  0.8692  0.4876

---

What did the first record say?
Computed, not measured: an optimized crystal structure of Pm2HgH at the PBE level of DFT.

Values from the calculation:
VASP energy ... -3.6161 eV/atom
DOS at the Fermi energy ... 3.02 states/eV/cell
Total magnetic moment ... 0.00 μB/f.u.

Lattice parameters (Å, degrees): 3.7369 3.7369 7.9670 76.44 76.44 60.00
Element x y z (fractional)
Hg  0.4996  0.4996  0.5013
H  0.6669  0.6669  0.9993
Pm  0.0611  0.0611  0.8166
Pm  0.2724  0.2724  0.1827

---

> Which of these has the lowest DOS at the Fermi energy?

number 1